VASP calculation (PBE with a Hubbard U) on a geometry-optimized CoIrO3 structure.

Properties
VASP energy	-5.337	eV/atom

a b c (Å): 3.658 3.658 3.658
angles (deg): 90.00 90.00 90.00
Last column: magnetic moment on the atom in μB.
Sites, in units of the cell vectors:
Co (0.500, 0.500, 0.500)  0.74
O (0.000, 0.500, 0.500)  0.01
O (0.500, 0.500, 0.000)  0.01
O (0.500, 0.000, 0.500)  0.02
Ir (0.000, 0.000, 0.000)  0.26